Entry from Alexandria via LeMat-Bulk: a relaxed LiCrPO4 crystal (PBE+U).

Computed properties:
Relative energy among the computed polymorphs, eV per atom: 0.043

a = 8.1232 Å, b = 9.1133 Å, c = 5.3024 Å
α = 90.00°, β = 90.00°, γ = 90.00°
Space group Pna2_1 (No. 33)
Symmetry-distinct sites (fractional):
Li 0.0777 0.0665 0.0000 [4 per cell]
Cr 0.1569 0.5367 0.1054 [4 per cell]
P 0.2277 0.3609 0.7099 [4 per cell]
O 0.0575 0.4291 0.7947 [4 per cell]
O 0.1484 0.9571 0.3712 [4 per cell]
O 0.2216 0.1988 0.7957 [4 per cell]
O 0.2321 0.8831 0.9317 [4 per cell]